1.
The following is a DFT calculation (GGA-PBE) of Ba2Si3AgAu4 after structural relaxation.

Computed properties:
Crystal system: tetragonal
D(E_F): 0.140 states/eV/atom
Uncorrected energy: -4.02 eV per atom

Cell: 4.659 4.659 10.384 Å, 90.00 90.00 90.00°
Element x y z (fractional)
Ba1 0.500 0.000 0.251
Ba2 0.000 0.500 0.749
Si1 0.000 0.000 0.500
Si2 0.500 0.000 0.881
Si3 0.000 0.500 0.119
Ag1 0.500 0.500 0.500
Au1 0.500 0.500 0.000
Au2 0.000 0.000 0.000
Au3 0.500 0.000 0.639
Au4 0.000 0.500 0.361

***

2.
The following is a DFT calculation (GGA-PBE) of SrPH after structural relaxation.

Computed properties:
Distance to the lowest polymorph of the same formula: 42.9 meV per atom
Crystal system: orthorhombic
D(E_F): 0.000 states/eV/atom
Uncorrected energy: -4.20 eV per atom

Cell: 6.340 6.293 6.454 Å, 90.00 90.00 90.00°
Element x y z (fractional)
Sr1 0.757 0.250 0.482
Sr2 0.743 0.750 0.982
Sr3 0.243 0.750 0.518
Sr4 0.257 0.250 0.018
H1 0.904 0.250 0.842
H2 0.596 0.750 0.342
H3 0.096 0.750 0.158
H4 0.404 0.250 0.658
P1 0.249 0.250 0.494
P2 0.251 0.750 0.994
P3 0.751 0.750 0.506
P4 0.749 0.250 0.006

***

Look up the uncorrected energy of the second one. -4.20 eV per atom

***

D(E_F) of number 1 (Ba2Si3AgAu4)? 0.140 states/eV/atom

***

Among the records above, which one has the lowest uncorrected energy? SrPH